# 1
! KTi3Ag | the Alexandria database | meta-GGA SCAN | PBEsol geometry; values from VASP
! Formation energy from the elements = 1.1033 eV/atom
! Energy above the most stable polymorph in this dataset = 0.0 kJ/mol of atoms
! DOS(E_F) = 3.39 states/eV/f.u.
! Volume = 129 Å³ per cell
&SYSTEM
  ibrav = 0, nat = 5, ntyp = 3
/
ATOMIC_SPECIES
K 39.10 K.upf
Ti 47.87 Ti.upf
Ag 107.87 Ag.upf
CELL_PARAMETERS angstrom
-0.9486 -0.8672 4.8902
-1.3507 -4.7459 -1.1037
4.7793 -1.5134 0.6587
ATOMIC_POSITIONS angstrom
K 1.2400 -3.5633 2.2226
Ti 2.3896 -0.7567 0.3294
Ti -0.4743 -0.4336 2.4451
Ti -0.6754 -2.3729 -0.5518
Ag 0.0000 0.0000 0.0000

=====

# 2
! SrLiRe2 | the Alexandria database | meta-GGA SCAN | PBEsol geometry; values from VASP
! Formation energy from the elements = 0.7370 eV/atom
! Energy above the most stable polymorph in this dataset = 0.0 kJ/mol of atoms
! DOS(E_F) = 2.02 states/eV/f.u.
! Volume = 70 Å³ per cell
&SYSTEM
  ibrav = 0, nat = 4, ntyp = 3
/
ATOMIC_SPECIES
Re 186.21 Re.upf
Li 6.94 Li.upf
Sr 87.62 Sr.upf
CELL_PARAMETERS angstrom
3.1966 0.0000 0.0000
0.0000 4.2367 0.0000
0.0000 0.0000 5.1732
ATOMIC_POSITIONS angstrom
Re 1.5983 2.1184 0.0000
Re 0.0000 0.0000 0.0000
Li 0.0000 2.1184 2.5866
Sr 1.5983 0.0000 2.5866

=====

# 3
! KSb2F7 | the Alexandria database | meta-GGA SCAN | PBEsol geometry; values from VASP
! Energy = -13.35 eV/atom
! DOS(E_F) = 0.00 states/eV/f.u.
! Volume = 655 Å³ per cell
&SYSTEM
  ibrav = 0, nat = 40, ntyp = 3
/
ATOMIC_SPECIES
Sb 121.76 Sb.upf
F 19.00 F.upf
K 39.10 K.upf
CELL_PARAMETERS angstrom
-1.2227 -6.5730 3.3924
-1.0516 -3.6288 -7.4101
10.5641 -1.1339 1.6106
ATOMIC_POSITIONS angstrom
Sb 7.1296 -3.9243 -1.7492
Sb 1.8125 -4.9166 2.6960
Sb 0.3138 -3.3278 -1.2490
Sb 8.3624 -6.9421 2.9334
Sb 1.1602 -7.4114 -0.6579
Sb 7.9759 -8.0079 -1.1580
Sb -0.0727 -4.3936 -5.3405
Sb 6.4772 -6.4191 -5.1031
F 6.1810 -2.1920 -1.7534
F 8.6997 -2.1610 0.2187
F 0.2334 -4.6282 -2.7708
F 1.8246 -7.1615 1.1910
F 5.3238 -4.6503 -1.2884
F 3.2066 -4.2538 1.4641
F 5.0831 -7.0819 -3.8712
F 0.5397 -5.0816 -0.0968
F 6.0420 -7.8384 -1.1152
F 0.7233 -1.9959 -2.8147
F 2.9659 -6.6855 -1.1187
F 2.1087 -9.1437 -0.6536
F 5.0431 -5.1470 -5.6735
F 8.0564 -6.7075 0.3638
F 6.6983 -3.9330 0.9188
F 6.4892 -6.4462 2.8077
F 1.5915 -7.4028 -3.3259
F 8.5868 -4.8672 2.7408
F -0.4100 -9.1747 -2.6258
F -0.2970 -6.4686 -5.1478
F 6.4651 -4.1742 -3.5981
F 3.2466 -6.1888 3.2664
F 7.7500 -6.2542 -2.3102
F 7.2398 -10.0852 -2.5344
F 1.0500 -1.2505 0.1274
F 2.2478 -3.4974 -1.2918
F 7.5665 -9.3398 0.4077
F 1.8005 -4.8895 -5.2148
K 4.1531 -2.2430 0.0005
K 3.4365 -5.0830 -3.1752
K 4.1367 -9.0927 -2.4076
K 4.8533 -6.2527 0.7682

=====

# 4
! ZnCr2Si | the Alexandria database | meta-GGA SCAN | PBEsol geometry; values from VASP
! Energy = -15.13 eV/atom
! DOS(E_F) = 1.51 states/eV/f.u.
! Volume = 50 Å³ per cell
&SYSTEM
  ibrav = 0, nat = 4, ntyp = 3
/
ATOMIC_SPECIES
Zn 65.41 Zn.upf
Cr 52.00 Cr.upf
Si 28.09 Si.upf
CELL_PARAMETERS angstrom
-2.0919 1.9916 0.1577
-2.8567 -2.9603 -0.5085
-0.1888 -0.5235 4.1077
ATOMIC_POSITIONS angstrom
Zn -1.0460 0.9958 0.0788
Cr -1.4284 -1.4801 -0.2543
Cr -0.0944 -0.2617 2.0538
Si -2.5687 -0.7461 1.8784

=====

# 5
! MgZr2Cd | the Alexandria database | meta-GGA SCAN | PBEsol geometry; values from VASP
! Formation energy from the elements = -0.0560 eV/atom
! DOS(E_F) = 3.11 states/eV/f.u.
! Volume = 83 Å³ per cell
&SYSTEM
  ibrav = 0, nat = 4, ntyp = 3
/
ATOMIC_SPECIES
Zr 91.22 Zr.upf
Mg 24.30 Mg.upf
Cd 112.41 Cd.upf
CELL_PARAMETERS angstrom
3.5984 0.0000 0.0000
0.0000 4.5264 0.0000
-1.7992 -2.2632 5.1156
ATOMIC_POSITIONS angstrom
Zr 1.7992 2.2632 2.5210
Zr 0.0000 0.0000 2.5946
Mg 1.7992 0.0000 0.0000
Cd 0.0000 2.2632 0.0000

=====

# 6
! ScCdAs2Br | the Alexandria database | meta-GGA SCAN | PBEsol geometry; values from VASP
! Energy = -20.18 eV/atom
! DOS(E_F) = 3.99 states/eV/f.u.
! Volume = 131 Å³ per cell
&SYSTEM
  ibrav = 0, nat = 5, ntyp = 4
/
ATOMIC_SPECIES
Cd 112.41 Cd.upf
As 74.92 As.upf
Sc 44.96 Sc.upf
Br 79.90 Br.upf
CELL_PARAMETERS angstrom
5.0349 0.0000 0.0000
0.0000 5.1043 0.0000
0.0000 0.0000 5.1043
ATOMIC_POSITIONS angstrom
Cd 2.5175 0.0000 0.0000
As 0.0000 2.5521 0.0000
As 0.0000 0.0000 2.5521
Sc 2.5175 2.5521 2.5521
Br 0.0000 0.0000 0.0000

=====

# 7
! TcMo2P | the Alexandria database | meta-GGA SCAN | PBEsol geometry; values from VASP
! Formation energy from the elements = 0.0003 eV/atom
! DOS(E_F) = 2.76 states/eV/f.u.
! Volume = 57 Å³ per cell
&SYSTEM
  ibrav = 0, nat = 4, ntyp = 3
/
ATOMIC_SPECIES
Tc 98.00 Tc.upf
Mo 95.94 Mo.upf
P 30.97 P.upf
CELL_PARAMETERS angstrom
2.8877 0.0000 0.0000
0.0000 4.0130 0.0000
0.0000 0.0000 4.9017
ATOMIC_POSITIONS angstrom
Tc 1.4438 2.0065 3.6433
Mo 1.4438 2.0065 1.3029
Mo 0.0000 0.0000 4.8686
P 0.0000 0.0000 2.4393

=====

# 8
! Ni3AgI | the Alexandria database | meta-GGA SCAN | PBEsol geometry; values from VASP
! Energy = -22.24 eV/atom
! DOS(E_F) = 1.31 states/eV/f.u.
! Volume = 93 Å³ per cell
&SYSTEM
  ibrav = 0, nat = 5, ntyp = 3
/
ATOMIC_SPECIES
I 126.90 I.upf
Ni 58.69 Ni.upf
Ag 107.87 Ag.upf
CELL_PARAMETERS angstrom
4.5340 0.0000 0.0000
0.0000 4.5340 0.0000
0.0000 0.0000 4.5340
ATOMIC_POSITIONS angstrom
I 0.0000 0.0000 0.0000
Ni 0.0000 2.2670 0.0000
Ni 2.2670 0.0000 0.0000
Ni 0.0000 0.0000 2.2670
Ag 2.2670 2.2670 2.2670

=====

What is the DOS(E_F) in the fifth record? 3.11 states/eV/f.u.

=====

Repeat the eighth record exactly.
! Ni3AgI | the Alexandria database | meta-GGA SCAN | PBEsol geometry; values from VASP
! Energy = -22.24 eV/atom
! DOS(E_F) = 1.31 states/eV/f.u.
! Volume = 93 Å³ per cell
&SYSTEM
  ibrav = 0, nat = 5, ntyp = 3
/
ATOMIC_SPECIES
I 126.90 I.upf
Ni 58.69 Ni.upf
Ag 107.87 Ag.upf
CELL_PARAMETERS angstrom
4.5340 0.0000 0.0000
0.0000 4.5340 0.0000
0.0000 0.0000 4.5340
ATOMIC_POSITIONS angstrom
I 0.0000 0.0000 0.0000
Ni 0.0000 2.2670 0.0000
Ni 2.2670 0.0000 0.0000
Ni 0.0000 0.0000 2.2670
Ag 2.2670 2.2670 2.2670

=====

The lowest DOS(E_F) belongs to which entry? KSb2F7

=====

Look up the DOS(E_F) of the third one. 0.00 states/eV/f.u.